A relaxed ErGe3Pt3 crystal, computed with GGA-PBE.

POSCAR file:
```
ErGe3Pt3
1.0
6.8033 0.0000 0.0000
0.0000 6.8033 0.0000
0.0000 0.0000 6.8033
Ge Pt Er
6 6 2
direct
0.0000 0.5000 0.2500
0.0000 0.5000 0.7500
0.2500 0.0000 0.5000
0.7500 0.0000 0.5000
0.5000 0.2500 0.0000
0.5000 0.7500 0.0000
0.2500 0.5000 0.0000
0.5000 0.0000 0.2500
0.7500 0.5000 0.0000
0.0000 0.2500 0.5000
0.5000 0.0000 0.7500
0.0000 0.7500 0.5000
0.5000 0.5000 0.5000
0.0000 0.0000 0.0000
```

Computed properties:
calculated total energy = -77.18 eV/cell
ρ = 10.2 g/cm³
magnetic moment = 0.00 μB/f.u.
SG = Pm-3n